Material: ZrPtAu2
Method: DFT, PBE
State: optimized geometry

abc: 4.2294 3.0227 6.4069
angles: 62.14 90.00 90.00
With the nearest neighbours (Å) after each atom.
Fractional positions:
Zr 0.5000 0.7500 0.7500  2 Pt 2.83, 8 Au 2.97, 2 Zr 3.02
Au 0.0000 0.5027 0.4961  4 Au 2.79-3.02, 4 Pt 2.94-2.95, 4 Zr 2.97
Pt 0.5000 0.2500 0.2500  2 Zr 2.83, 8 Au 2.94-2.95, 2 Pt 3.02
Au 0.0000 0.9973 0.0039  4 Au 2.79-3.02, 4 Pt 2.94-2.95, 4 Zr 2.97

## Properties
Total magnetization (μB/cell): 0.0
Calculated formation energy (meV per atom): -444